Entry 1:
LaScSb2I | PBE-GGA | relaxed

a = 6.043 Å, b = 6.043 Å, c = 6.000 Å
α = 90.00°, β = 90.00°, γ = 90.00°
Element x y z (fractional)
Sb (0.000, 0.500, 0.000)
Sb (0.500, 0.000, 0.000)
La (0.000, 0.000, 0.000)
Sc (0.500, 0.500, 0.500)
I (0.000, 0.000, 0.500)

The value obtained for the volume is 219.1 Å³/cell. As for the uncorrected formation energy: 206.2 meV per atom. The final energy comes out at -20.023 eV for the cell shown. The space group is P4/mmm, No. 123. As for the offset from the most stable computed form: 72.1 kJ per mole of atoms.

Entry 2:
YbAlB4 | PBE-GGA | relaxed

a = 3.495 Å, b = 5.971 Å, c = 11.563 Å
α = 90.00°, β = 90.00°, γ = 90.00°
Element x y z (fractional)
Yb (0.000, 0.371, 0.650)
Yb (0.000, 0.629, 0.350)
Yb (0.000, 0.129, 0.150)
Yb (0.000, 0.871, 0.850)
B (0.500, 0.386, 0.047)
B (0.500, 0.367, 0.469)
B (0.500, 0.474, 0.193)
B (0.500, 0.133, 0.969)
B (0.500, 0.209, 0.812)
B (0.500, 0.886, 0.453)
B (0.500, 0.026, 0.693)
B (0.500, 0.791, 0.188)
B (0.500, 0.974, 0.307)
B (0.500, 0.633, 0.531)
B (0.500, 0.614, 0.953)
B (0.500, 0.867, 0.031)
B (0.500, 0.291, 0.312)
B (0.500, 0.709, 0.688)
B (0.500, 0.114, 0.547)
B (0.500, 0.526, 0.807)
Al (0.000, 0.860, 0.591)
Al (0.000, 0.640, 0.091)
Al (0.000, 0.360, 0.909)
Al (0.000, 0.140, 0.409)

The value obtained for the volume is 241.3 Å³/cell. The final energy comes out at -137.847 eV for the cell shown. The value obtained for the formation enthalpy at 0 K is -0.41 eV per atom. The space group is Pbam, No. 55. As for the offset from the most stable computed form: 0.0 kJ per mole of atoms.

Entry 3:
Th6HgBi3 | PBE-GGA | relaxed

a = 8.128 Å, b = 9.460 Å, c = 9.460 Å
α = 114.47°, β = 90.00°, γ = 90.00°
Element x y z (fractional)
Bi (0.965, 0.705, 0.946)
Bi (0.965, 0.054, 0.295)
Bi (0.310, 0.465, 0.535)
Bi (0.465, 0.295, 0.054)
Bi (0.465, 0.946, 0.705)
Bi (0.810, 0.535, 0.465)
Th (0.779, 0.510, 0.102)
Th (0.100, 0.330, 0.209)
Th (0.600, 0.670, 0.791)
Th (0.779, 0.898, 0.490)
Th (0.279, 0.490, 0.898)
Th (0.600, 0.209, 0.330)
Th (0.775, 0.032, 0.968)
Th (0.678, 0.279, 0.721)
Th (0.275, 0.968, 0.032)
Th (0.178, 0.721, 0.279)
Th (0.100, 0.791, 0.670)
Th (0.279, 0.102, 0.510)
Hg (0.536, 0.817, 0.183)
Hg (0.036, 0.183, 0.817)

The value obtained for the volume is 662.1 Å³/cell. The final energy comes out at -116.317 eV for the cell shown. The value obtained for the formation enthalpy at 0 K is -0.17 eV per atom. The space group is Cmc2_1, No. 36.

Entry 4:
Al2TlMoAu | PBE-GGA | relaxed

a = 4.738 Å, b = 5.443 Å, c = 4.738 Å
α = 90.00°, β = 90.00°, γ = 90.00°
Element x y z (fractional)
Au (0.000, 0.000, 0.000)
Tl (0.500, 0.500, 0.500)
Al (0.000, 0.000, 0.500)
Al (0.500, 0.000, 0.000)
Mo (0.000, 0.500, 0.000)

The value obtained for the volume is 122.2 Å³/cell. The final energy comes out at -20.083 eV for the cell shown. The value obtained for the formation enthalpy at 0 K is 0.78 eV per atom. The space group is P4/mmm, No. 123.

Entry 5:
Y2RhS | PBE-GGA | relaxed

a = 3.874 Å, b = 3.874 Å, c = 7.423 Å
α = 74.87°, β = 74.87°, γ = 60.00°
Element x y z (fractional)
Y (0.079, 0.079, 0.764)
Y (0.255, 0.255, 0.234)
S (0.500, 0.500, 0.501)
Rh (0.666, 0.666, 0.001)

The value obtained for the volume is 92.0 Å³/cell. As for the uncorrected formation energy: -1240.0 meV per atom. The final energy comes out at -29.367 eV for the cell shown. The space group is R3m, No. 160.

Entry 6:
AcTmTlAu | PBE-GGA | relaxed

a = 5.468 Å, b = 5.468 Å, c = 5.468 Å
α = 60.00°, β = 60.00°, γ = 60.00°
Element x y z (fractional)
Tl (0.500, 0.500, 0.500)
Tm (0.250, 0.250, 0.250)
Au (0.000, 0.000, 0.000)
Ac (0.750, 0.750, 0.750)

The value obtained for the volume is 115.6 Å³/cell. The final energy comes out at -16.174 eV for the cell shown. The value obtained for the formation enthalpy at 0 K is -0.49 eV per atom. The space group is F-43m, No. 216.

Entry 7:
SrYAl | PBE-GGA | relaxed

a = 6.365 Å, b = 6.368 Å, c = 6.368 Å
α = 116.10°, β = 96.00°, γ = 117.11°
Element x y z (fractional)
Sr (0.401, 0.771, 0.109)
Sr (0.681, 0.270, 0.890)
Y (0.553, 0.524, 0.507)
Y (0.047, 0.020, 0.505)
Al (0.045, 0.502, 0.480)
Al (0.045, 0.043, 0.021)

The value obtained for the volume is 190.7 Å³/cell. The final energy comes out at -24.452 eV for the cell shown. The value obtained for the formation enthalpy at 0 K is -0.11 eV per atom. The space group is Cm, No. 8. As for the offset from the most stable computed form: 9.5 kJ per mole of atoms.

Entry 8:
KBa2NaPd | PBE-GGA | relaxed

a = 6.248 Å, b = 6.248 Å, c = 6.536 Å
α = 90.00°, β = 90.00°, γ = 90.00°
Element x y z (fractional)
Pd (0.000, 0.000, 0.000)
K (0.000, 0.000, 0.500)
Ba (0.000, 0.500, 0.000)
Ba (0.500, 0.000, 0.000)
Na (0.500, 0.500, 0.500)

The value obtained for the volume is 255.2 Å³/cell. The final energy comes out at -12.091 eV for the cell shown. The value obtained for the formation enthalpy at 0 K is -0.13 eV per atom. The space group is P4/mmm, No. 123. As for the offset from the most stable computed form: 1.2 kJ per mole of atoms.

Entry 9:
NiGeB | PBE-GGA | relaxed

a = 3.038 Å, b = 3.038 Å, c = 27.159 Å
α = 90.00°, β = 90.00°, γ = 120.00°
Element x y z (fractional)
Ge (0.000, 0.000, 0.159)
Ge (0.667, 0.333, 0.493)
Ge (0.333, 0.667, 0.826)
Ge (0.667, 0.333, 0.400)
Ge (0.000, 0.000, 0.066)
Ge (0.333, 0.667, 0.733)
Ni (0.667, 0.333, 0.222)
Ni (0.667, 0.333, 0.675)
Ni (0.000, 0.000, 0.341)
Ni (0.000, 0.000, 0.888)
Ni (0.333, 0.667, 0.008)
Ni (0.333, 0.667, 0.555)
B (0.000, 0.000, 0.611)
B (0.667, 0.333, 0.944)
B (0.000, 0.000, 0.268)
B (0.333, 0.667, 0.935)
B (0.667, 0.333, 0.601)
B (0.333, 0.667, 0.278)

The value obtained for the volume is 217.0 Å³/cell. The final energy comes out at -101.238 eV for the cell shown. The value obtained for the formation enthalpy at 0 K is 0.07 eV per atom. The space group is R3m, No. 160. As for the offset from the most stable computed form: 3.9 kJ per mole of atoms.

Entry 10:
Pr2YHg4 | PBE-GGA | relaxed

a = 5.658 Å, b = 5.658 Å, c = 8.843 Å
α = 108.66°, β = 108.66°, γ = 90.00°
Element x y z (fractional)
Hg (0.000, 0.500, 0.000)
Hg (0.500, 0.000, 0.000)
Hg (0.808, 0.808, 0.616)
Hg (0.192, 0.192, 0.384)
Pr (0.393, 0.393, 0.786)
Pr (0.607, 0.607, 0.214)
Y (0.000, 0.000, 0.000)

The value obtained for the volume is 252.4 Å³/cell. The final energy comes out at -17.587 eV for the cell shown. The value obtained for the formation enthalpy at 0 K is -0.05 eV per atom. The space group is I4/mmm, No. 139. As for the offset from the most stable computed form: 29.3 kJ per mole of atoms.

Entry 11:
CuRePt4 | PBE-GGA | relaxed

a = 5.198 Å, b = 5.198 Å, c = 5.198 Å
α = 60.00°, β = 60.00°, γ = 60.00°
Element x y z (fractional)
Pt (0.875, 0.375, 0.375)
Pt (0.375, 0.875, 0.375)
Pt (0.375, 0.375, 0.875)
Pt (0.375, 0.375, 0.375)
Re (0.750, 0.750, 0.750)
Cu (0.000, 0.000, 0.000)

The value obtained for the volume is 99.3 Å³/cell. The final energy comes out at -37.756 eV for the cell shown. The value obtained for the formation enthalpy at 0 K is 0.49 eV per atom. The space group is F-43m, No. 216. As for the offset from the most stable computed form: 58.0 kJ per mole of atoms.

Entry 12:
Pm3Dy8Y2 | PBE-GGA | relaxed

a = 5.647 Å, b = 7.697 Å, c = 10.797 Å
α = 110.88°, β = 90.01°, γ = 90.00°
Element x y z (fractional)
Dy (0.500, 0.182, 0.784)
Dy (0.000, 0.331, 0.661)
Dy (0.500, 0.399, 0.216)
Dy (0.500, 0.601, 0.784)
Dy (0.000, 0.669, 0.339)
Dy (0.000, 0.866, 0.732)
Dy (0.500, 0.818, 0.216)
Dy (0.000, 0.134, 0.268)
Pm (0.500, 0.000, 0.000)
Pm (0.000, 0.709, 0.000)
Pm (0.000, 0.291, 0.000)
Y (0.500, 0.759, 0.517)
Y (0.500, 0.241, 0.483)

The value obtained for the volume is 438.5 Å³/cell. The final energy comes out at -60.837 eV for the cell shown. The value obtained for the formation enthalpy at 0 K is 0.24 eV per atom. The space group is Cmmm, No. 65. As for the offset from the most stable computed form: 21.6 kJ per mole of atoms.